Entry 1:
DFT (PBE) results for a relaxed structure of NiHg2Ge2.

Values from the calculation:
Total energy: -29.11 eV/cell

Cell and atoms, written as extended XYZ:
```
10
Lattice="6.0102 0.0000 0.0000 0.0000 11.3009 0.0000 0.0000 0.0000 2.9942" Properties=species:S:1:pos:R:3 pbc="T T T"
Ni 0.0000 0.0000 0.0000
Ni 3.0051 5.6504 0.0000
Hg 0.8218 4.1057 0.0000
Hg 2.1833 9.7562 0.0000
Hg 3.8269 1.5447 0.0000
Hg 5.1884 7.1951 0.0000
Ge 1.1562 1.4661 1.4971
Ge 1.8489 7.1165 1.4971
Ge 4.1613 4.1844 1.4971
Ge 4.8540 9.8348 1.4971
```

***

Entry 2:
DFT (PBE) results for a relaxed structure of NiHgGe.

Values from the calculation:
Distance to the lowest polymorph of the same formula: 0 meV per atom

Cell and atoms, written as extended XYZ:
```
3
Lattice="0.0000 3.0166 3.0166 3.0166 0.0000 3.0166 3.0166 3.0166 0.0000" Properties=species:S:1:pos:R:3 pbc="T T T"
Ni 0.0000 0.0000 0.0000
Hg 1.5083 1.5083 1.5083
Ge 4.5250 4.5250 4.5250
```

***

Entry 3:
DFT (PBE) results for a relaxed structure of NiHg2Ge.

Values from the calculation:
Total energy: -9.16 eV/cell

Cell and atoms, written as extended XYZ:
```
4
Lattice="0.0000 3.3600 3.3600 3.3600 0.0000 3.3600 3.3600 3.3600 0.0000" Properties=species:S:1:pos:R:3 pbc="T T T"
Ni 0.0000 0.0000 0.0000
Hg 1.6800 1.6800 1.6800
Hg 3.3600 3.3600 3.3600
Ge 5.0401 5.0401 5.0401
```

***

Entry 4:
DFT (PBE) results for a relaxed structure of NiHgGeOs.

Values from the calculation:
Total energy: -18.14 eV/cell

Cell and atoms, written as extended XYZ:
```
4
Lattice="0.0000 3.1871 3.1871 3.1871 0.0000 3.1871 3.1871 3.1871 0.0000" Properties=species:S:1:pos:R:3 pbc="T T T"
Ni 0.0000 0.0000 0.0000
Hg 3.1871 3.1871 3.1871
Ge 4.7806 4.7806 4.7806
Os 1.5935 1.5935 1.5935
```

***

Entry 5:
DFT (PBE) results for a relaxed structure of NiHgGePd.

Values from the calculation:
Distance to the lowest polymorph of the same formula: 0 meV per atom

Cell and atoms, written as extended XYZ:
```
4
Lattice="0.0000 3.1797 3.1797 3.1797 0.0000 3.1797 3.1797 3.1797 0.0000" Properties=species:S:1:pos:R:3 pbc="T T T"
Ni 0.0000 0.0000 0.0000
Hg 1.5899 1.5899 1.5899
Ge 4.7696 4.7696 4.7696
Pd 3.1797 3.1797 3.1797
```

***

Entry 6:
DFT (PBE) results for a relaxed structure of NiHgGePt.

Values from the calculation:
Distance to the lowest polymorph of the same formula: 0 meV per atom

Cell and atoms, written as extended XYZ:
```
4
Lattice="0.0000 3.1853 3.1853 3.1853 0.0000 3.1853 3.1853 3.1853 0.0000" Properties=species:S:1:pos:R:3 pbc="T T T"
Ni 0.0000 0.0000 0.0000
Hg 1.5927 1.5927 1.5927
Ge 4.7780 4.7780 4.7780
Pt 3.1853 3.1853 3.1853
```

***

Entry 7:
DFT (PBE) results for a relaxed structure of NiHgGeS3.

Values from the calculation:
Distance to the lowest polymorph of the same formula: 206 meV per atom

Cell and atoms, written as extended XYZ:
```
12
Lattice="1.7434 -6.4891 0.0000 1.7434 6.4891 0.0000 0.0000 0.0000 10.5309" Properties=species:S:1:pos:R:3 pbc="T T T"
Ni 1.7434 5.9389 7.8982
Ni 1.7434 -5.9389 2.6327
Hg 1.7434 0.0000 0.0000
Hg 1.7434 0.0000 5.2654
Ge 1.7434 3.0267 2.6327
Ge 1.7434 -3.0267 7.8982
S 1.7434 4.3441 6.2780
S 1.7434 4.3441 9.5183
S 1.7434 0.7871 7.8982
S 1.7434 -0.7871 2.6327
S 1.7434 -4.3441 1.0125
S 1.7434 -4.3441 4.2529
```

***

Entry 8:
DFT (PBE) results for a relaxed structure of NiHgGeS3.

Values from the calculation:
Distance to the lowest polymorph of the same formula: 0 meV per atom

Cell and atoms, written as extended XYZ:
```
12
Lattice="1.7298 -7.2941 0.0000 1.7298 7.2941 0.0000 0.0000 0.0000 9.5438" Properties=species:S:1:pos:R:3 pbc="T T T"
Ni 0.0000 0.0000 0.0000
Ni 0.0000 0.0000 4.7719
Hg 1.7298 3.0241 7.1579
Hg 1.7298 -3.0241 2.3860
Ge 1.7298 2.0071 2.3860
Ge 1.7298 -2.0071 7.1579
S 1.7298 6.9502 7.1579
S 1.7298 1.4807 4.9038
S 1.7298 1.4807 9.4120
S 1.7298 -1.4807 0.1319
S 1.7298 -1.4807 4.6400
S 1.7298 -6.9502 2.3860
```

***

Entry 9:
DFT (PBE) results for a relaxed structure of NiHgGeSe3.

Values from the calculation:
Distance to the lowest polymorph of the same formula: 63 meV per atom

Cell and atoms, written as extended XYZ:
```
12
Lattice="1.8570 -6.0417 0.0000 1.8570 6.0417 0.0000 0.0000 0.0000 11.4694" Properties=species:S:1:pos:R:3 pbc="T T T"
Ni 1.8570 5.3035 8.6020
Ni 1.8570 -5.3035 2.8673
Hg 1.8570 0.0000 0.0000
Hg 1.8570 0.0000 5.7347
Ge 1.8570 2.6635 2.8673
Ge 1.8570 -2.6635 8.6020
Se 1.8570 4.0621 6.5984
Se 1.8570 4.0621 10.6057
Se 1.8570 0.7107 8.6020
Se 1.8570 -0.7107 2.8673
Se 1.8570 -4.0621 0.8637
Se 1.8570 -4.0621 4.8710
```

***

Entry 10:
DFT (PBE) results for a relaxed structure of NiHgGeSe3.

Values from the calculation:
Distance to the lowest polymorph of the same formula: 0 meV per atom

Cell and atoms, written as extended XYZ:
```
12
Lattice="1.7666 -7.7011 0.0000 1.7666 7.7011 0.0000 0.0000 0.0000 11.7972" Properties=species:S:1:pos:R:3 pbc="T T T"
Ni 0.0000 0.0000 0.0000
Ni 0.0000 0.0000 5.8986
Hg 1.7666 1.5355 8.8479
Hg 1.7666 -1.5355 2.9493
Ge 1.7666 3.2204 2.9493
Ge 1.7666 -3.2204 8.8479
Se 1.7666 6.1360 8.8479
Se 1.7666 1.4998 6.2790
Se 1.7666 1.4998 11.4168
Se 1.7666 -1.4998 0.3804
Se 1.7666 -1.4998 5.5182
Se 1.7666 -6.1360 2.9493
```

***

Entry 11:
DFT (PBE) results for a relaxed structure of NiHgGeTe3.

Values from the calculation:
Distance to the lowest polymorph of the same formula: 71 meV per atom

Cell and atoms, written as extended XYZ:
```
12
Lattice="2.0139 -6.6020 0.0000 2.0139 6.6020 0.0000 0.0000 0.0000 12.2316" Properties=species:S:1:pos:R:3 pbc="T T T"
Ni 2.0139 5.4660 9.1737
Ni 2.0139 -5.4660 3.0579
Hg 2.0139 0.0000 0.0000
Hg 2.0139 0.0000 6.1158
Ge 2.0139 2.5912 3.0579
Ge 2.0139 -2.5912 9.1737
Te 2.0139 4.4547 6.8398
Te 2.0139 4.4547 11.5076
Te 2.0139 0.4221 9.1737
Te 2.0139 -0.4221 3.0579
Te 2.0139 -4.4547 0.7240
Te 2.0139 -4.4547 5.3918
```

***

Entry 12:
DFT (PBE) results for a relaxed structure of NiHgGeTe3.

Values from the calculation:
Distance to the lowest polymorph of the same formula: 0 meV per atom

Cell and atoms, written as extended XYZ:
```
12
Lattice="1.9513 -6.9952 0.0000 1.9513 6.9952 0.0000 0.0000 0.0000 11.4325" Properties=species:S:1:pos:R:3 pbc="T T T"
Ni 0.0000 0.0000 0.0000
Ni 0.0000 0.0000 5.7163
Hg 1.9513 2.8527 8.5744
Hg 1.9513 -2.8527 2.8581
Ge 1.9513 2.0050 2.8581
Ge 1.9513 -2.0050 8.5744
Te 1.9513 6.9679 8.5744
Te 1.9513 1.6554 5.7403
Te 1.9513 1.6554 11.4085
Te 1.9513 -1.6554 0.0241
Te 1.9513 -1.6554 5.6922
Te 1.9513 -6.9679 2.8581
```

***

Entry 13:
DFT (PBE) results for a relaxed structure of NiHgGeW.

Values from the calculation:
Total energy: -19.68 eV/cell

Cell and atoms, written as extended XYZ:
```
4
Lattice="0.0000 3.2296 3.2296 3.2296 0.0000 3.2296 3.2296 3.2296 0.0000" Properties=species:S:1:pos:R:3 pbc="T T T"
Ni 0.0000 0.0000 0.0000
Hg 3.2296 3.2296 3.2296
Ge 4.8445 4.8445 4.8445
W 1.6148 1.6148 1.6148
```

***

Entry 14:
DFT (PBE) results for a relaxed structure of ZnNiHgGe.

Values from the calculation:
Total energy: -10.57 eV/cell

Cell and atoms, written as extended XYZ:
```
4
Lattice="0.0000 3.2157 3.2157 3.2157 0.0000 3.2157 3.2157 3.2157 0.0000" Properties=species:S:1:pos:R:3 pbc="T T T"
Zn 0.0000 0.0000 0.0000
Ni 4.8235 4.8235 4.8235
Hg 1.6078 1.6078 1.6078
Ge 3.2157 3.2157 3.2157
```

***

Entry 15:
DFT (PBE) results for a relaxed structure of ZrNiHgGe.

Values from the calculation:
Total energy: -18.91 eV/cell

Cell and atoms, written as extended XYZ:
```
4
Lattice="0.0000 3.3071 3.3071 3.3071 0.0000 3.3071 3.3071 3.3071 0.0000" Properties=species:S:1:pos:R:3 pbc="T T T"
Zr 0.0000 0.0000 0.0000
Ni 4.9606 4.9606 4.9606
Hg 1.6535 1.6535 1.6535
Ge 3.3071 3.3071 3.3071
```

***

Entry 16:
DFT (PBE) results for a relaxed structure of NpHgGe.

Values from the calculation:
Total energy: -16.63 eV/cell

Cell and atoms, written as extended XYZ:
```
3
Lattice="0.0000 3.4151 3.4151 3.4151 0.0000 3.4151 3.4151 3.4151 0.0000" Properties=species:S:1:pos:R:3 pbc="T T T"
Np 0.0000 0.0000 0.0000
Hg 5.1227 5.1227 5.1227
Ge 3.4151 3.4151 3.4151
```

***

Entry 17:
DFT (PBE) results for a relaxed structure of NpHgGe.

Values from the calculation:
Total energy: -16.62 eV/cell

Cell and atoms, written as extended XYZ:
```
3
Lattice="0.0000 3.4528 3.4528 3.4528 0.0000 3.4528 3.4528 3.4528 0.0000" Properties=species:S:1:pos:R:3 pbc="T T T"
Np 0.0000 0.0000 0.0000
Hg 1.7264 1.7264 1.7264
Ge 5.1792 5.1792 5.1792
```

***

Entry 18:
DFT (PBE) results for a relaxed structure of HgGeO3.

Values from the calculation:
Total energy: -100.51 eV/cell

Cell and atoms, written as extended XYZ:
```
20
Lattice="5.2700 -5.0888 0.0000 5.2700 5.0888 0.0000 -1.5123 0.0000 5.2527" Properties=species:S:1:pos:R:3 pbc="T T T"
Hg 4.1357 4.0714 3.9395
Hg 4.8919 2.0987 1.3132
Hg 4.1357 -2.0987 3.9395
Hg 4.8919 -4.0714 1.3132
Ge 1.9867 0.8461 3.8774
Ge 2.7429 -0.8461 1.2511
Ge 6.2847 0.8461 4.0016
Ge 7.0409 -0.8461 1.3752
O 0.3004 0.9286 3.4283
O 2.5885 2.3146 4.6122
O 1.0566 -0.9286 0.8019
O 3.0058 0.4772 2.4491
O 2.2496 -0.4772 5.0755
O 5.6830 2.3146 3.2668
O 3.3446 -2.3146 1.9859
O 6.7780 0.4772 0.1772
O 6.0218 -0.4772 2.8035
O 7.9711 0.9286 4.4507
O 6.4392 -2.3146 0.6404
O 8.7272 -0.9286 1.8244
```

***

Entry 19:
DFT (PBE) results for a relaxed structure of HgGeO3.

Values from the calculation:
Total energy: -24.10 eV/cell

Cell and atoms, written as extended XYZ:
```
5
Lattice="3.5489 0.0000 0.0000 0.0000 3.5489 0.0000 0.0000 0.0000 4.8011" Properties=species:S:1:pos:R:3 pbc="T T T"
Hg 0.0000 0.0000 0.0000
Ge 1.7744 1.7744 2.4928
O 0.0000 1.7744 3.0679
O 1.7744 0.0000 3.0679
O 1.7744 1.7744 0.7070
```

***

Entry 20:
DFT (PBE) results for a relaxed structure of HgGePO.

Values from the calculation:
Distance to the lowest polymorph of the same formula: 391 meV per atom

Cell and atoms, written as extended XYZ:
```
8
Lattice="4.4606 0.0000 0.0000 0.0000 4.4606 0.0000 0.0000 0.0000 8.4726" Properties=species:S:1:pos:R:3 pbc="T T T"
Hg 1.1151 1.1151 0.3817
Hg 3.3454 3.3454 8.0908
Ge 1.1151 3.3454 4.2363
Ge 3.3454 1.1151 4.2363
P 1.1151 1.1151 5.3776
P 3.3454 3.3454 3.0949
O 1.1151 3.3454 0.0000
O 3.3454 1.1151 0.0000
```

***

Entry 21:
DFT (PBE) results for a relaxed structure of HgGePO.

Values from the calculation:
Distance to the lowest polymorph of the same formula: 0 meV per atom

Cell and atoms, written as extended XYZ:
```
8
Lattice="3.6631 0.0000 0.0000 0.0000 6.6013 0.0000 0.0000 0.0000 6.4206" Properties=species:S:1:pos:R:3 pbc="T T T"
Hg 0.0000 1.1769 0.0000
Hg 0.0000 5.4244 3.2103
Ge 1.8315 2.5498 3.2650
Ge 1.8315 4.0515 0.0547
P 0.0000 1.2715 2.5198
P 0.0000 5.3297 5.7301
O 1.8315 2.5746 5.2617
O 1.8315 4.0266 2.0514
```

***

Entry 22:
DFT (PBE) results for a relaxed structure of HgGePO.

Values from the calculation:
Distance to the lowest polymorph of the same formula: 215 meV per atom

Cell and atoms, written as extended XYZ:
```
8
Lattice="3.9452 0.0000 0.0000 0.0000 3.9452 0.0000 0.0000 0.0000 9.5416" Properties=species:S:1:pos:R:3 pbc="T T T"
Hg 0.9863 2.9589 0.0000
Hg 2.9589 0.9863 0.0000
Ge 0.9863 0.9863 3.8444
Ge 2.9589 2.9589 5.6973
P 0.9863 0.9863 7.7205
P 2.9589 2.9589 1.8211
O 0.9863 2.9589 4.7708
O 2.9589 0.9863 4.7708
```

***

Entry 23:
DFT (PBE) results for a relaxed structure of HgGePO.

Values from the calculation:
Distance to the lowest polymorph of the same formula: 71 meV per atom

Cell and atoms, written as extended XYZ:
```
8
Lattice="3.9497 0.0000 0.0000 0.0000 6.3099 0.0000 0.0000 0.0000 6.1051" Properties=species:S:1:pos:R:3 pbc="T T T"
Hg 0.0000 1.1451 0.0000
Hg 0.0000 5.1648 3.0526
Ge 1.9748 1.8102 2.7668
Ge 1.9748 4.4997 5.8194
P 1.9748 2.2218 5.1131
P 1.9748 4.0881 2.0606
O 0.0000 1.2387 2.4395
O 0.0000 5.0712 5.4920
```

***

Entry 24:
DFT (PBE) results for a relaxed structure of RbHg3GeO4.

Values from the calculation:
Total energy: -32.32 eV/cell

Cell and atoms, written as extended XYZ:
```
9
Lattice="6.0531 0.0000 0.0000 0.0000 6.0531 0.0000 0.0000 0.0000 6.0531" Properties=species:S:1:pos:R:3 pbc="T T T"
Rb 0.0000 0.0000 0.0000
Hg 0.0000 3.0265 3.0265
Hg 3.0265 0.0000 3.0265
Hg 3.0265 3.0265 0.0000
Ge 3.0265 3.0265 3.0265
O 1.9817 1.9817 1.9817
O 1.9817 4.0714 4.0714
O 4.0714 1.9817 4.0714
O 4.0714 4.0714 1.9817
```

***

Entry 25:
DFT (PBE) results for a relaxed structure of HgGeSeO.

Values from the calculation:
Distance to the lowest polymorph of the same formula: 352 meV per atom

Cell and atoms, written as extended XYZ:
```
8
Lattice="4.8748 0.0000 0.0000 0.0000 4.8748 0.0000 0.0000 0.0000 7.5361" Properties=species:S:1:pos:R:3 pbc="T T T"
Hg 1.2187 1.2187 1.2796
Hg 3.6561 3.6561 6.2565
Ge 1.2187 1.2187 4.7917
Ge 3.6561 3.6561 2.7444
Se 1.2187 3.6561 3.7681
Se 3.6561 1.2187 3.7681
O 1.2187 1.2187 6.4904
O 3.6561 3.6561 1.0457
```